No. 1
CsThGa2Cl8: optimized geometry, GGA-PBE.

formation energy without anion corrections	-1.51	eV/atom
crystal system	triclinic
M_tot	0.8	μB/cell
symmetry	No. 2

```
CsThGa2Cl8
1.0
-5.2123 -2.5157 3.4527
3.7487 -4.0036 4.5892
1.1537 5.6381 7.8706
Ga Cl Th Cs
2 8 1 1
direct
0.5235 0.5518 0.2898
0.4765 0.4482 0.7102
0.1543 0.7391 0.2359
0.6994 0.7801 0.0300
0.8003 0.2018 0.1772
0.5895 0.7100 0.4811
0.3006 0.2199 0.9700
0.1997 0.7982 0.8228
0.4105 0.2900 0.5189
0.8457 0.2609 0.7641
0.0000 0.0000 0.0000
0.0000 0.0000 0.5000
```

---

No. 2
Cs2TlGaCl4: optimized geometry, GGA-PBE.

formation energy without anion corrections	-1.39	eV/atom
crystal system	monoclinic
M_tot	0.0	μB/cell
symmetry	No. 15

```
Cs2TlGaCl4
1.0
9.4636 -0.0032 -0.0427
-0.0099 9.4636 -0.0428
-4.7014 -4.7048 6.7333
Cs Tl Ga Cl
4 2 2 8
direct
0.5000 0.0000 0.0000
0.5000 0.5000 0.0000
0.5000 0.0000 0.5000
0.0000 0.0000 0.5000
0.0000 0.5000 0.5000
0.0000 0.5000 0.0000
0.5000 0.5000 0.5000
0.0000 0.0000 0.0000
0.2451 0.2563 0.4756
0.2436 0.2549 0.0244
0.7483 0.2760 0.5122
0.2517 0.7240 0.4878
0.7563 0.7451 0.9756
0.2240 0.7517 0.9878
0.7760 0.2483 0.0122
0.7549 0.7437 0.5244
```

---

No. 3
CsTlGa2Cl8: optimized geometry, GGA-PBE.

formation energy without anion corrections	-1.35	eV/atom
crystal system	trigonal
M_tot	0.0	μB/cell
symmetry	No. 148

```
CsTlGa2Cl8
1.0
6.9270 0.0000 0.0000
3.4635 5.9989 0.0000
3.4635 1.9996 10.0132
Cl Tl Ga Cs
8 1 2 1
direct
0.0542 0.4583 0.8078
0.8280 0.8280 0.5159
0.9458 0.5417 0.1922
0.4583 0.6797 0.8078
0.3203 0.9458 0.1922
0.5417 0.3203 0.1922
0.6797 0.0542 0.8078
0.1720 0.1720 0.4841
0.0000 0.0000 0.0000
0.7549 0.7549 0.7354
0.2451 0.2451 0.2646
0.5000 0.5000 0.5000
```

---

No. 4
CsTlGaCl6: optimized geometry, GGA-PBE.

formation energy without anion corrections	-1.14	eV/atom
crystal system	trigonal
M_tot	0.0	μB/cell
symmetry	No. 149

```
CsTlGaCl6
1.0
-2.4895 -6.0700 -2.5413
3.3071 -3.2084 -5.3169
4.2309 -3.7962 4.9226
Cl Tl Ga Cs
6 1 1 1
direct
0.0502 0.6002 0.6904
0.3496 0.0503 0.6904
0.6002 0.3496 0.6905
0.0500 0.3500 0.3094
0.3500 0.6000 0.3094
0.6000 0.0500 0.3095
0.6666 0.6666 0.5003
0.3333 0.3334 0.4998
0.0000 0.0000 0.0002
```

---

No. 5
Cs2TlGaCl5: optimized geometry, GGA-PBE.

formation energy without anion corrections	-1.37	eV/atom
crystal system	tetragonal
M_tot	0.0	μB/cell
symmetry	No. 107

```
Cs2TlGaCl5
1.0
-4.5299 2.2702 5.5127
-3.0361 -0.3475 -6.8356
2.2759 -7.1261 0.3211
Tl Cs Cl Ga
1 2 5 1
direct
0.0000 0.5695 0.5695
0.5000 0.7762 0.2762
0.5000 0.2762 0.7762
0.4577 0.2452 0.2452
0.0000 0.7875 0.2452
0.5423 0.7875 0.7875
0.0000 0.2452 0.7875
0.0000 0.2753 0.2753
0.0000 0.0374 0.0374
```

---

No. 6
CsV2GaCl8: optimized geometry, GGA-PBE.

formation energy without anion corrections	-1.25	eV/atom
crystal system	trigonal
M_tot	4.0	μB/cell
symmetry	No. 148

```
CsV2GaCl8
1.0
6.8168 0.0000 0.0000
3.4084 5.9035 0.0000
3.4084 1.9678 9.8779
Cl V Ga Cs
8 2 1 1
direct
0.8257 0.8257 0.5229
0.4265 0.7051 0.8172
0.1743 0.1743 0.4771
0.0513 0.4265 0.8172
0.5735 0.2949 0.1829
0.9487 0.5735 0.1829
0.2949 0.9487 0.1829
0.7051 0.0513 0.8172
0.2496 0.2496 0.2513
0.7504 0.7504 0.7487
0.0000 0.0000 0.0000
0.5000 0.5000 0.5000
```

---

No. 7
Cs2GaWCl6: optimized geometry, GGA-PBE.

formation energy without anion corrections	-1.23	eV/atom
crystal system	cubic
M_tot	3.0	μB/cell
symmetry	No. 225

```
Cs2GaWCl6
1.0
-4.8896 3.3431 4.7966
-1.8419 -6.8153 2.8724
0.5573 -1.2528 7.4968
Ga Cs W Cl
1 2 1 6
direct
0.5000 0.5000 0.0000
0.7500 0.2500 0.5000
0.2500 0.7500 0.5000
0.0000 0.0000 0.0000
0.7715 0.7715 0.4571
0.7715 0.2285 0.0000
0.2285 0.2285 0.0000
0.7715 0.7715 0.0000
0.2285 0.2285 0.5429
0.2285 0.7715 0.0000
```

---

No. 8
CsZnGa2Cl8: optimized geometry, GGA-PBE.

formation energy without anion corrections	-1.17	eV/atom
crystal system	trigonal
M_tot	1.0	μB/cell
symmetry	No. 148

```
CsZnGa2Cl8
1.0
-1.9816 -4.1734 -4.8095
-4.0677 -5.0792 1.4597
-9.7998 2.6426 -2.8791
Cl Zn Ga Cs
8 1 2 1
direct
0.9570 0.5886 0.1727
0.7183 0.0430 0.8273
0.1778 0.1778 0.4666
0.0430 0.4114 0.8273
0.4114 0.7183 0.8273
0.8222 0.8222 0.5334
0.2817 0.9570 0.1727
0.5886 0.2817 0.1727
0.0000 0.0000 0.0000
0.7472 0.7472 0.7583
0.2528 0.2528 0.2417
0.5000 0.5000 0.5000
```

---

No. 9
Cs2ZrGaCl6: optimized geometry, GGA-PBE.

formation energy without anion corrections	-1.64	eV/atom
crystal system	trigonal
M_tot	2.0	μB/cell
symmetry	No. 166

```
Cs2ZrGaCl6
1.0
7.7620 0.0000 0.0000
3.8810 6.7221 0.0000
3.8810 2.2407 13.2076
Cl Zr Cs Ga
12 2 4 2
direct
0.1918 0.7286 0.8878
0.3722 0.3722 0.3949
0.2714 0.8082 0.1122
0.8082 0.8082 0.1122
0.1918 0.1918 0.8878
0.1393 0.6278 0.6051
0.6278 0.1393 0.6051
0.7286 0.1918 0.8878
0.8082 0.2714 0.1122
0.6278 0.6278 0.6051
0.8607 0.3722 0.3949
0.3722 0.8607 0.3949
0.0000 0.0000 0.0000
0.5000 0.5000 0.5000
0.2966 0.2966 0.1101
0.1277 0.1277 0.6169
0.8723 0.8723 0.3831
0.7034 0.7034 0.8899
0.5828 0.5828 0.2515
0.4172 0.4172 0.7485
```

---

No. 10
CsGdCl3: optimized geometry, GGA-PBE.

formation energy without anion corrections	-1.97	eV/atom
crystal system	cubic
M_tot	7.4	μB/cell
symmetry	No. 221

```
CsGdCl3
1.0
-4.4760 3.0879 0.8699
-3.1993 -4.1866 -1.6007
-0.2362 -1.8065 5.1968
Cl Gd Cs
3 1 1
direct
0.0000 0.0000 0.5000
0.0000 0.5000 0.0000
0.5000 0.0000 0.0000
0.0000 0.0000 0.0000
0.5000 0.5000 0.5000
```

---

No. 11
Cs3GdCl6: optimized geometry, GGA-PBE.

formation energy without anion corrections	-2.12	eV/atom
crystal system	cubic
M_tot	7.0	μB/cell
symmetry	No. 225

```
Cs3GdCl6
1.0
8.4318 0.0000 0.0000
4.2159 7.2997 0.0009
4.2159 2.4341 6.8821
Cl Gd Cs
6 1 3
direct
0.7758 0.7757 0.2243
0.2242 0.2243 0.7757
0.2242 0.7757 0.2243
0.7758 0.2243 0.7757
0.2243 0.7757 0.7757
0.7757 0.2243 0.2243
0.0000 0.0000 0.0000
0.2500 0.2500 0.2500
0.7500 0.7500 0.7500
0.5000 0.5000 0.5000
```

---

No. 12
Cs2LiGdCl6: optimized geometry, GGA-PBE.

formation energy without anion corrections	-2.13	eV/atom
crystal system	cubic
M_tot	7.0	μB/cell
symmetry	No. 225

```
Cs2LiGdCl6
1.0
7.5407 0.0004 0.0003
3.7707 6.5303 0.0003
3.7707 2.1770 6.1567
Gd Cl Li Cs
1 6 1 2
direct
0.0000 0.0000 0.0000
0.7487 0.7487 0.2513
0.7487 0.2513 0.7487
0.2513 0.7487 0.2513
0.2513 0.7487 0.7487
0.7487 0.2513 0.2513
0.2513 0.2513 0.7487
0.5000 0.5000 0.5000
0.2500 0.2500 0.2500
0.7500 0.7500 0.7500
```

---

No. 13
Cs2RbGdCl6: optimized geometry, GGA-PBE.

formation energy without anion corrections	-2.14	eV/atom
crystal system	cubic
M_tot	7.1	μB/cell
symmetry	No. 225

```
Cs2RbGdCl6
1.0
-2.0661 5.1589 -6.0613
-7.0680 -1.0564 -4.0681
-6.1850 5.3157 1.0543
Rb Cs Cl Gd
1 2 6 1
direct
0.5000 0.5000 0.5000
0.7500 0.7500 0.7500
0.2500 0.2500 0.2500
0.2298 0.2298 0.7702
0.7702 0.2298 0.7702
0.7702 0.7702 0.2298
0.2298 0.7702 0.7702
0.2298 0.7702 0.2298
0.7702 0.2298 0.2298
0.0000 0.0000 0.0000
```

---

No. 14
CsRb2GdCl6: optimized geometry, GGA-PBE.

formation energy without anion corrections	-2.05	eV/atom
crystal system	cubic
M_tot	7.1	μB/cell
symmetry	No. 225

```
CsRb2GdCl6
1.0
-6.7655 4.9694 0.2258
-6.1407 -1.0088 -5.6384
-7.4224 -3.1183 2.3881
Gd Cl Cs Rb
1 6 1 2
direct
0.0000 0.0000 0.0000
0.2248 0.2248 0.7752
0.7752 0.7752 0.2248
0.7752 0.2248 0.7752
0.7752 0.2248 0.2248
0.2248 0.7752 0.2248
0.2248 0.7752 0.7752
0.5000 0.5000 0.5000
0.2500 0.2500 0.2500
0.7500 0.7500 0.7500
```

---

No. 15
CsGe2Cl6: optimized geometry, GGA-PBE.

formation energy without anion corrections	-1.06	eV/atom
crystal system	monoclinic
M_tot	0.0	μB/cell
symmetry	No. 12

```
CsGe2Cl6
1.0
-2.5082 4.1789 0.2387
-6.6372 -1.0667 -1.1897
-4.7565 -0.5588 9.6769
Cl Ge Cs
6 2 1
direct
0.2851 0.8073 0.6226
0.0023 0.1730 0.8224
0.3096 0.2671 0.1137
0.9977 0.8270 0.1776
0.7149 0.1927 0.3774
0.6904 0.7329 0.8863
0.1728 0.8116 0.8428
0.8272 0.1884 0.1572
0.0000 0.5000 0.5000
```

---

No. 16
Cs3GeCl5: optimized geometry, GGA-PBE.

formation energy without anion corrections	-1.57	eV/atom
crystal system	tetragonal
M_tot	0.0	μB/cell
symmetry	No. 140

```
Cs3GeCl5
1.0
8.2549 0.0000 -4.5416
-2.4986 7.8677 -4.5416
0.3153 0.4310 10.3460
Cs Cl Ge
6 10 2
direct
0.7500 0.7500 0.5000
0.8358 0.6642 0.0000
0.2500 0.2500 0.5000
0.3358 0.8358 0.0000
0.1642 0.3358 0.0000
0.6642 0.1642 0.0000
0.4988 0.7006 0.6994
0.2994 0.7994 0.3006
0.9988 0.4988 0.6994
0.0000 0.0000 0.0000
0.0012 0.5012 0.3006
0.7006 0.2006 0.6994
0.2006 0.9988 0.6994
0.7994 0.0012 0.3006
0.5000 0.5000 0.0000
0.5012 0.2994 0.3006
0.2500 0.7500 0.5000
0.7500 0.2500 0.5000
```

---

No. 17
Cs2GeCl5: optimized geometry, GGA-PBE.

formation energy without anion corrections	-1.40	eV/atom
crystal system	tetragonal
M_tot	0.9	μB/cell
symmetry	No. 107

```
Cs2GeCl5
1.0
-3.7085 0.2922 6.3706
0.7816 -6.7018 -2.9829
7.1748 1.6793 0.3543
Cl Cs Ge
5 2 1
direct
0.4434 0.2114 0.2114
0.5566 0.7681 0.7681
0.0000 0.2114 0.7681
0.0000 0.2528 0.2528
0.0000 0.7681 0.2114
0.5000 0.2445 0.7445
0.5000 0.7445 0.2445
0.0000 0.0213 0.0213
```

---

No. 18
Cs12Ge3Cl5: optimized geometry, GGA-PBE.

formation energy without anion corrections	-0.84	eV/atom
crystal system	cubic
M_tot	20.0	μB/cell
symmetry	No. 230

```
Cs12Ge3Cl5
1.0
18.3554 0.0000 0.0000
-6.1185 17.3057 0.0000
-6.1185 -8.6528 14.9872
Cs Ge Cl
48 12 20
direct
0.1721 0.0894 0.9556
0.9106 0.8279 0.5444
0.5827 0.7165 0.6721
0.6721 0.4556 0.5894
0.0894 0.1721 0.4556
0.5444 0.2165 0.1339
0.8661 0.5827 0.9106
0.3279 0.5444 0.4106
0.8279 0.9106 0.0445
0.9173 0.0894 0.6339
0.7165 0.1339 0.0445
0.0445 0.6339 0.7165
0.2165 0.6721 0.0827
0.5827 0.8661 0.4106
0.7835 0.4556 0.3661
0.4556 0.7835 0.8661
0.4106 0.0445 0.3279
0.6721 0.2165 0.5827
0.2165 0.5444 0.6339
0.1339 0.4173 0.0894
0.0827 0.1721 0.2165
0.4556 0.6721 0.0894
0.7165 0.5827 0.1721
0.4106 0.3661 0.5827
0.5444 0.3279 0.9106
0.0894 0.9173 0.1339
0.5894 0.9556 0.6721
0.2835 0.4173 0.8279
0.1339 0.7165 0.5444
0.6339 0.0445 0.2165
0.1721 0.0827 0.7165
0.4173 0.1339 0.5894
0.9556 0.3661 0.2835
0.3661 0.9556 0.7835
0.9106 0.0827 0.8661
0.8661 0.2835 0.4556
0.9556 0.5894 0.1721
0.9173 0.8279 0.7835
0.0827 0.9106 0.3661
0.3661 0.4106 0.0827
0.5894 0.6339 0.4173
0.7835 0.3279 0.9173
0.4173 0.2835 0.3279
0.3279 0.7835 0.4173
0.8279 0.9173 0.2835
0.6339 0.5894 0.9173
0.2835 0.8661 0.9556
0.0445 0.4106 0.8279
0.1250 0.2500 0.8750
0.2500 0.1250 0.3750
0.2500 0.6250 0.8750
0.3750 0.7500 0.6250
0.7500 0.3750 0.1250
0.6250 0.3750 0.7500
0.8750 0.1250 0.2500
0.7500 0.8750 0.6250
0.6250 0.2500 0.3750
0.3750 0.6250 0.2500
0.8750 0.7500 0.1250
0.1250 0.8750 0.7500
0.6250 0.7500 0.8750
0.0000 0.0000 0.5000
0.0000 0.5000 0.0000
0.1250 0.3750 0.2500
0.8750 0.2500 0.6250
0.1250 0.7500 0.3750
0.3750 0.1250 0.7500
0.5000 0.5000 0.5000
0.7500 0.6250 0.3750
0.2500 0.8750 0.1250
0.0000 0.0000 0.0000
0.5000 0.0000 0.5000
0.5000 0.0000 0.0000
0.6250 0.8750 0.2500
0.3750 0.2500 0.1250
0.0000 0.5000 0.5000
0.5000 0.5000 0.0000
0.7500 0.1250 0.8750
0.2500 0.3750 0.6250
0.8750 0.6250 0.7500
```

---

Taking the records one at a time from the top gives DFT total energy values of -47.19, -25.62, -40.25, -27.63, -28.70, -51.89, -41.03, -37.00, -40.73, -30.34, -48.94, -50.03, -49.21, -48.50, -30.74, -30.55, -26.76, -50.16 eV/f.u..